VASP calculation (PBE-GGA) on a relaxed structure of FeReC3.

a = 3.691 Å, b = 3.691 Å, c = 3.691 Å
α = 90.00°, β = 90.00°, γ = 90.00°
Sites, in units of the cell vectors:
Fe: 0.000 0.000 0.000
Re: 0.500 0.500 0.500
C: 0.000 0.000 0.500
C: 0.000 0.500 0.000
C: 0.500 0.000 0.000

* symmetry: No. 221
* energy relative to the elements: 2.316 eV/atom
* N(E_F): 1.03 states/eV per atom
* E above lowest polymorph: 0.311 eV per formula unit